No. 1
A plane-wave DFT calculation with PBE was carried out for a relaxed structure of ReSi2Se.

Summary:
Density of states at the Fermi level: 2.35 states/eV/f.u.
Energy relative to the elements, uncorrected: 0.09 eV per atom
Spin magnetization: 0.00 μB/f.u.
Crystal system: monoclinic

Cell and atoms, written as extended XYZ:
```
4
Lattice="2.985 0.000 0.000 0.000 3.076 0.000 -0.021 0.000 7.071" Properties=species:S:1:pos:R:3 pbc="T T T"
Re 0.000 0.000 0.000
Si 1.474 1.538 5.673
Si 1.490 1.538 1.398
Se 1.482 0.000 3.535
```

=====

No. 2
A plane-wave DFT calculation with PBE was carried out for a relaxed structure of K2NaReSi.

Summary:
Density of states at the Fermi level: 4.83 states/eV/f.u.
Energy relative to the elements, uncorrected: 1.60 eV per atom
Spin magnetization: 6.00 μB/f.u.
Crystal system: tetragonal

Cell and atoms, written as extended XYZ:
```
5
Lattice="6.393 0.000 0.000 0.000 6.393 0.000 0.000 0.000 5.597" Properties=species:S:1:pos:R:3 pbc="T T T"
K 0.000 3.197 0.000
K 3.197 0.000 0.000
Na 0.000 0.000 2.799
Re 3.197 3.197 2.799
Si 0.000 0.000 0.000
```